# 1
VASP calculation (PBE-GGA) on an optimized crystal structure of NbIn2Fe2.

```
NbIn2Fe2
1.0
6.357 0.000 0.000
0.000 6.357 0.000
0.000 0.000 4.170
Nb In Fe
2 4 4
Cartesian
0.000 0.000 0.000
3.178 3.178 0.000
1.121 2.057 2.085
2.057 5.236 2.085
4.300 1.121 2.085
5.236 4.300 2.085
0.795 3.973 0.000
2.383 0.795 0.000
3.973 5.562 0.000
5.562 2.383 0.000
```

Properties
ΔE_f ... 0.24 eV per atom
Size of the total moment ... 3.290 μB per cell


# 2
VASP calculation (PBE-GGA) on an optimized crystal structure of PaAgBO6.

```
PaAgBO6
1.0
4.961 0.000 0.000
-2.481 4.296 0.000
0.000 0.000 4.681
Pa Ag B O
1 1 1 6
Cartesian
0.000 0.000 0.000
0.000 2.864 2.340
2.481 1.432 2.340
1.762 0.249 3.360
1.097 1.402 1.321
3.199 0.249 1.321
1.815 2.646 3.360
3.864 1.402 3.360
3.146 2.646 1.321
```

Properties
Size of the total moment ... 0.749 μB per cell
Formation energy (no corrections) ... -1.497 eV per atom


# 3
VASP calculation (PBE-GGA) on an optimized crystal structure of Y3ZrOs.

```
Y3ZrOs
1.0
5.265 0.000 0.000
0.000 5.265 0.000
0.000 0.000 5.265
Y Zr Os
3 1 1
Cartesian
0.000 0.000 2.632
0.000 2.632 0.000
2.632 0.000 0.000
0.000 0.000 0.000
2.632 2.632 2.632
```

Properties
ΔE_f ... 1.48 eV per atom
Polymorph energy (0 for the lowest one) ... 1168 meV per atom
Size of the total moment ... 1.457 μB per cell


Which value of size of the total moment does entry 1 give? 3.290 μB per cell